1.
MgCu4Re | PBE | optimized geometry

Values from the calculation:
M_tot (μB/f.u.): 1.2
N(E_F) (states/eV/f.u.): 4.44
Formation enthalpy at 0 K (eV/atom): 0.28

abc: 4.8466 4.8466 4.8466
angles: 60.00 60.00 60.00
Positions (direct):
Mg 0.0000 0.0000 0.0000
Cu 0.1259 0.6247 0.6247
Cu 0.6247 0.1259 0.6247
Cu 0.6247 0.6247 0.1259
Cu 0.6247 0.6247 0.6247
Re 0.2500 0.2500 0.2500

2.
MgCu2Re | PBE | optimized geometry

Values from the calculation:
M_tot (μB/f.u.): 0.2
N(E_F) (states/eV/f.u.): 3.71
Formation enthalpy at 0 K (eV/atom): 0.24

abc: 4.5082 4.5082 2.7513
angles: 90.00 90.00 90.00
Positions (direct):
Mg 0.0000 0.0000 0.0000
Cu 0.0000 0.5000 0.5000
Cu 0.5000 0.0000 0.5000
Re 0.5000 0.5000 0.0000